1.
Computed, not measured: a crystal of CdReTe2 relaxed with PBEsol at the SCAN level of DFT.

Properties
Symmetry ... R-3m, No. 166
Uncorrected formation energy ... 130 kJ/mol of formula units
Volume ... 277.62 Å³ per cell

Structure (extended XYZ):
```
12
Lattice="3.2999 0.0000 0.0000 -1.6500 2.8578 0.0000 0.0000 0.0000 29.4383" Properties=species:S:1:pos:R:3 pbc="T T T"
Cd 0.0000 0.0000 0.0000
Cd 0.0000 1.9052 19.6255
Cd 1.6500 0.9526 9.8127
Re 0.0000 0.0000 14.7191
Re 0.0000 1.9052 4.9064
Re 1.6500 0.9526 24.5319
Te 0.0000 0.0000 6.8391
Te 0.0000 0.0000 22.5992
Te 0.0000 1.9052 12.7864
Te 0.0000 1.9052 26.4646
Te 1.6500 0.9526 2.9737
Te 1.6500 0.9526 16.6518
```

2.
Computed, not measured: a crystal of Cd2ReTe relaxed with PBEsol at the SCAN level of DFT.

Properties
Symmetry ... P4/mmm, No. 123
Uncorrected formation energy ... 338 kJ/mol of formula units
Volume ... 77.24 Å³ per cell

Structure (extended XYZ):
```
4
Lattice="4.0275 0.0000 0.0000 0.0000 4.0275 0.0000 0.0000 0.0000 4.7617" Properties=species:S:1:pos:R:3 pbc="T T T"
Cd 0.0000 2.0137 0.0000
Cd 2.0137 0.0000 0.0000
Re 0.0000 0.0000 2.3809
Te 2.0137 2.0137 2.3809
```

3.
Computed, not measured: a crystal of CdReTe2 relaxed with PBEsol at the SCAN level of DFT.

Properties
Symmetry ... R-3m, No. 166
Uncorrected formation energy ... 294 kJ/mol of formula units
Volume ... 279.14 Å³ per cell

Structure (extended XYZ):
```
12
Lattice="3.0157 0.0000 0.0000 -1.5079 2.6117 0.0000 0.0000 0.0000 35.4406" Properties=species:S:1:pos:R:3 pbc="T T T"
Cd 0.0000 0.0000 0.0000
Cd 0.0000 1.7411 23.6271
Cd 1.5079 0.8706 11.8135
Re 0.0000 0.0000 17.7203
Re 0.0000 1.7411 5.9068
Re 1.5079 0.8706 29.5339
Te 0.0000 0.0000 15.0856
Te 0.0000 0.0000 20.3551
Te 0.0000 1.7411 3.2720
Te 0.0000 1.7411 8.5415
Te 1.5079 0.8706 26.8991
Te 1.5079 0.8706 32.1686
```

4.
Computed, not measured: a crystal of Cd2ReTe relaxed with PBEsol at the SCAN level of DFT.

Properties
Symmetry ... P4mm, No. 99
Uncorrected formation energy ... 145 kJ/mol of formula units
Volume ... 84.70 Å³ per cell

Structure (extended XYZ):
```
4
Lattice="3.1460 0.0000 0.0000 0.0000 3.1460 0.0000 0.0000 0.0000 8.5574" Properties=species:S:1:pos:R:3 pbc="T T T"
Cd 0.0000 0.0000 0.0000
Cd 1.5730 1.5730 2.1748
Re 0.0000 0.0000 4.0743
Te 1.5730 1.5730 5.5744
```